Entry 1:
First-principles (PBE-GGA) data for a relaxed structure of CdTeIrN2, as listed in Alexandria.

Calculated values
SG: No. 123
Energy above the lowest structure with this stoichiometry, eV per atom: 1.361
Energy relative to the elements, uncorrected, kJ/mol of formula units: 1039

Lattice parameters (Å, degrees): 4.0578 4.0578 6.5449 90.00 90.00 90.00
With the nearest neighbours (Å) after each atom.
Sites, in units of the cell vectors:
N 0.0000 0.5000 0.0000  2 Cd 2.03
N 0.5000 0.0000 0.0000  2 Cd 2.03
Ir 0.5000 0.5000 0.5000  4 Te 2.87
Te 0.0000 0.0000 0.5000  4 Ir 2.87
Cd 0.0000 0.0000 0.0000  4 N 2.03

Entry 2:
First-principles (PBE-GGA) data for a relaxed structure of YCdIrN2, as listed in Alexandria.

Calculated values
SG: No. 123
Energy relative to the elements, uncorrected, kJ/mol of formula units: 650

Lattice parameters (Å, degrees): 4.3959 5.5811 4.3959 90.00 90.00 90.00
With the nearest neighbours (Å) after each atom.
Sites, in units of the cell vectors:
Y 0.0000 0.0000 0.0000  4 N 2.20
N 0.0000 0.0000 0.5000  2 Y 2.20
N 0.5000 0.0000 0.0000  2 Y 2.20
Ir 0.0000 0.5000 0.0000  2 Y 2.79, 4 Cd 3.11
Cd 0.5000 0.5000 0.5000  4 Ir 3.11

Entry 3:
First-principles (PBE-GGA) data for a relaxed structure of NaCd2Ir, as listed in Alexandria.

Calculated values
SG: No. 123
Energy relative to the elements, eV/atom: 0.12

Lattice parameters (Å, degrees): 3.1105 3.1105 8.5508 90.00 90.00 90.00
With the nearest neighbours (Å) after each atom.
Sites, in units of the cell vectors:
Na 0.5000 0.5000 0.5000  4 Na 3.11, 8 Cd 3.33
Ir 0.5000 0.5000 0.0000  8 Cd 2.83, 4 Ir 3.11
Cd 0.0000 0.0000 0.7919  4 Ir 2.83, 4 Cd 3.11
Cd 0.0000 0.0000 0.2081  4 Ir 2.83, 4 Cd 3.11

Entry 4:
First-principles (PBE-GGA) data for a relaxed structure of NaCd2Ir2, as listed in Alexandria.

Calculated values
SG: No. 127
Energy relative to the elements, eV/atom: 0.20

Lattice parameters (Å, degrees): 8.1539 8.1539 2.8948 90.00 90.00 90.00
With the nearest neighbours (Å) after each atom.
Sites, in units of the cell vectors:
Na 0.0000 0.0000 0.0000  2 Na 2.89
Na 0.5000 0.5000 0.0000  2 Na 2.89
Ir 0.3893 0.8893 0.0000  1 Ir 2.55, 2 Cd 2.78
Ir 0.8893 0.6107 0.0000  1 Ir 2.55, 2 Cd 2.78
Ir 0.6107 0.1107 0.0000  1 Ir 2.55, 2 Cd 2.78
Ir 0.1107 0.3893 0.0000  1 Ir 2.55, 2 Cd 2.78
Cd 0.1838 0.6838 0.5000  6 Ir 2.78-2.87, 2 Cd 2.89
Cd 0.6838 0.8162 0.5000  6 Ir 2.78-2.87, 2 Cd 2.89
Cd 0.8162 0.3162 0.5000  6 Ir 2.78-2.87, 2 Cd 2.89
Cd 0.3162 0.1838 0.5000  6 Ir 2.78-2.87, 2 Cd 2.89

Entry 5:
First-principles (PBE-GGA) data for a relaxed structure of Na4Cd2Ir, as listed in Alexandria.

Calculated values
SG: No. 139
Energy relative to the elements, eV/atom: 0.47

Lattice parameters (Å, degrees): 5.4357 5.4357 8.5267 71.41 71.41 90.00
With the nearest neighbours (Å) after each atom.
Sites, in units of the cell vectors:
Na 0.8168 0.8168 0.3664  1 Ir 2.79
Na 0.1832 0.1832 0.6336  1 Ir 2.79
Na 0.0000 0.5000 0.0000  2 Ir 2.72
Na 0.5000 0.0000 0.0000  2 Ir 2.72
Ir 0.0000 0.0000 0.0000  6 Na 2.72-2.79
Cd 0.6079 0.6079 0.7843  5 Na 3.18, 1 Cd 3.28
Cd 0.3921 0.3921 0.2157  5 Na 3.18, 1 Cd 3.28

Entry 6:
First-principles (PBE-GGA) data for a relaxed structure of NaCd3Ir, as listed in Alexandria.

Calculated values
SG: No. 221
Energy relative to the elements, eV/atom: 0.08
Energy above the lowest structure with this stoichiometry, eV per atom: 0.000

Lattice parameters (Å, degrees): 5.2309 5.2309 5.2309 90.00 90.00 90.00
With the nearest neighbours (Å) after each atom.
Sites, in units of the cell vectors:
Na 0.5000 0.5000 0.5000  12 Cd 3.70
Ir 0.0000 0.0000 0.0000  6 Cd 2.62
Cd 0.0000 0.5000 0.0000  2 Ir 2.62
Cd 0.0000 0.0000 0.5000  2 Ir 2.62
Cd 0.5000 0.0000 0.0000  2 Ir 2.62

Entry 7:
First-principles (PBE-GGA) data for a relaxed structure of NaCd2Ir, as listed in Alexandria.

Calculated values
SG: No. 123
Energy relative to the elements, eV/atom: 0.11

Lattice parameters (Å, degrees): 3.2227 4.8012 4.8012 90.00 90.00 90.00
With the nearest neighbours (Å) after each atom.
Sites, in units of the cell vectors:
Na 0.5000 0.5000 0.5000  8 Cd 2.89, 2 Na 3.22
Ir 0.5000 0.0000 0.0000  8 Cd 2.89, 2 Ir 3.22
Cd 0.0000 0.0000 0.5000  4 Na 2.89, 4 Ir 2.89, 2 Cd 3.22
Cd 0.0000 0.5000 0.0000  4 Na 2.89, 4 Ir 2.89, 2 Cd 3.22

Entry 8:
First-principles (PBE-GGA) data for a relaxed structure of NaCd2Ir, as listed in Alexandria.

Calculated values
SG: No. 122
Energy relative to the elements, eV/atom: 0.48

Lattice parameters (Å, degrees): 4.3988 4.3988 9.8797 77.14 77.14 90.00
With the nearest neighbours (Å) after each atom.
Sites, in units of the cell vectors:
Na 0.5000 0.5000 0.0000  4 Cd 2.89, 4 Ir 3.11
Na 0.2500 0.7500 0.5000  4 Cd 2.89, 4 Ir 3.11
Ir 0.0000 0.0000 0.0000  4 Cd 2.75
Ir 0.7500 0.2500 0.5000  4 Cd 2.75
Cd 0.6660 0.1250 0.2500  2 Ir 2.75, 2 Cd 2.87, 2 Na 2.89
Cd 0.0840 0.6250 0.2500  2 Ir 2.75, 2 Cd 2.87, 2 Na 2.89
Cd 0.3750 0.3340 0.7500  2 Ir 2.75, 2 Cd 2.87, 2 Na 2.89
Cd 0.8750 0.9160 0.7500  2 Ir 2.75, 2 Cd 2.87, 2 Na 2.89

Entry 9:
First-principles (PBE-GGA) data for a relaxed structure of NaCd3Ir, as listed in Alexandria.

Calculated values
SG: No. 221
Energy relative to the elements, eV/atom: 1.31
Energy above the lowest structure with this stoichiometry, eV per atom: 1.228

Lattice parameters (Å, degrees): 4.8959 4.8959 4.8959 90.00 90.00 90.00
With the nearest neighbours (Å) after each atom.
Sites, in units of the cell vectors:
Na 0.0000 0.0000 0.0000  6 Cd 2.45
Ir 0.5000 0.5000 0.5000  12 Cd 3.46
Cd 0.0000 0.5000 0.0000  2 Na 2.45
Cd 0.0000 0.0000 0.5000  2 Na 2.45
Cd 0.5000 0.0000 0.0000  2 Na 2.45

Entry 10:
First-principles (PBE-GGA) data for a relaxed structure of Na2CdIr2, as listed in Alexandria.

Calculated values
SG: No. 139
Energy relative to the elements, eV/atom: 0.85
Energy above the lowest structure with this stoichiometry, eV per atom: 0.317

Lattice parameters (Å, degrees): 3.7798 3.7798 7.5829 75.57 75.57 90.00
With the nearest neighbours (Å) after each atom.
Sites, in units of the cell vectors:
Na 0.7500 0.2500 0.5000  4 Na 2.67
Na 0.2500 0.7500 0.5000  4 Na 2.67
Ir 0.4137 0.4137 0.1727  1 Ir 2.45
Ir 0.5863 0.5863 0.8273  1 Ir 2.45
Cd 0.0000 0.0000 0.0000  8 Ir 2.94

Entry 11:
First-principles (PBE-GGA) data for a relaxed structure of Na3CdIr, as listed in Alexandria.

Calculated values
SG: No. 221
Energy relative to the elements, eV/atom: 0.65
Energy above the lowest structure with this stoichiometry, eV per atom: 0.000

Lattice parameters (Å, degrees): 5.4679 5.4679 5.4679 90.00 90.00 90.00
With the nearest neighbours (Å) after each atom.
Sites, in units of the cell vectors:
Na 0.0000 0.5000 0.0000  2 Ir 2.73
Na 0.0000 0.0000 0.5000  2 Ir 2.73
Na 0.5000 0.0000 0.0000  2 Ir 2.73
Ir 0.0000 0.0000 0.0000  6 Na 2.73
Cd 0.5000 0.5000 0.5000  12 Na 3.87

Entry 12:
First-principles (PBE-GGA) data for a relaxed structure of Na2CdIr2, as listed in Alexandria.

Calculated values
SG: No. 127
Energy relative to the elements, eV/atom: 0.54
Energy above the lowest structure with this stoichiometry, eV per atom: 0.000

Lattice parameters (Å, degrees): 8.9091 8.9091 2.6280 90.00 90.00 90.00
With the nearest neighbours (Å) after each atom.
Sites, in units of the cell vectors:
Na 0.1896 0.6896 0.5000  2 Na 2.63
Na 0.6896 0.8104 0.5000  2 Na 2.63
Na 0.8104 0.3104 0.5000  2 Na 2.63
Na 0.3104 0.1896 0.5000  2 Na 2.63
Ir 0.4028 0.9028 0.0000  3 Ir 2.45-2.63
Ir 0.9028 0.5972 0.0000  3 Ir 2.45-2.63
Ir 0.5972 0.0972 0.0000  3 Ir 2.45-2.63
Ir 0.0972 0.4028 0.0000  3 Ir 2.45-2.63
Cd 0.0000 0.0000 0.0000  2 Cd 2.63
Cd 0.5000 0.5000 0.0000  2 Cd 2.63

Entry 13:
First-principles (PBE-GGA) data for a relaxed structure of Na2CdIrO6, as listed in Alexandria.

Calculated values
SG: No. 14
Energy relative to the elements, uncorrected, kJ/mol of formula units: -889

Lattice parameters (Å, degrees): 5.5617 5.7520 7.9757 90.00 90.25 90.00
With the nearest neighbours (Å) after each atom.
Sites, in units of the cell vectors:
Na 0.0143 0.9445 0.2511  4 O 2.33-2.43
Na 0.5143 0.5555 0.7511  4 O 2.33-2.43
Na 0.9857 0.0555 0.7489  4 O 2.33-2.43
Na 0.4857 0.4445 0.2489  4 O 2.33-2.43
Cd 0.5000 0.0000 0.0000  6 O 2.28-2.32
Cd 0.0000 0.5000 0.5000  6 O 2.28-2.32
Ir 0.5000 0.0000 0.5000  6 O 1.89-1.90
Ir 0.0000 0.5000 0.0000  6 O 1.89-1.90
O 0.2789 0.6749 0.0518  1 Ir 1.89
O 0.7789 0.8251 0.5518  1 Ir 1.89
O 0.7211 0.3251 0.9482  1 Ir 1.89
O 0.2211 0.1749 0.4482  1 Ir 1.89
O 0.3355 0.7240 0.4367  1 Ir 1.90
O 0.8355 0.7760 0.9367  1 Ir 1.90
O 0.6645 0.2760 0.5633  1 Ir 1.90
O 0.1645 0.2240 0.0633  1 Ir 1.90
O 0.8910 0.5402 0.2236  1 Ir 1.90
O 0.3910 0.9598 0.7236  1 Ir 1.90
O 0.1090 0.4598 0.7764  1 Ir 1.90
O 0.6090 0.0402 0.2764  1 Ir 1.90

Entry 14:
First-principles (PBE-GGA) data for a relaxed structure of NaCd2IrO6, as listed in Alexandria.

Calculated values
SG: No. 146
Energy relative to the elements, uncorrected, kJ/mol of formula units: -854

Lattice parameters (Å, degrees): 5.6532 5.6532 5.8411 61.06 61.06 60.00
With the nearest neighbours (Å) after each atom.
Sites, in units of the cell vectors:
Na 0.8106 0.8106 0.5683  6 O 2.31-2.46
Cd 0.5371 0.5371 0.3887  6 O 2.27-2.47
Cd 0.0311 0.0311 0.9067  3 O 2.21
Ir 0.3213 0.3213 0.0360  6 O 1.92-1.94
O 0.5518 0.2170 0.2482  1 Ir 1.92
O 0.2170 0.9829 0.2482  1 Ir 1.92
O 0.9830 0.5518 0.2482  1 Ir 1.92
O 0.4157 0.6667 0.7903  1 Ir 1.94
O 0.6667 0.1273 0.7903  1 Ir 1.93
O 0.1273 0.4157 0.7903  1 Ir 1.94

Entry 15:
First-principles (PBE-GGA) data for a relaxed structure of Na3Cd2IrO6, as listed in Alexandria.

Calculated values
SG: No. 12
Energy relative to the elements, uncorrected, kJ/mol of formula units: -1379

Lattice parameters (Å, degrees): 5.7756 5.7756 5.7384 79.98 79.98 119.82
With the nearest neighbours (Å) after each atom.
Sites, in units of the cell vectors:
Na 0.5000 0.5000 0.5000  4 O 2.37
Na 0.1644 0.8356 0.5000  4 O 2.38
Na 0.8356 0.1644 0.5000  4 O 2.38
Cd 0.3325 0.6675 0.0000  6 O 2.35-2.39
Cd 0.6675 0.3325 0.0000  6 O 2.35-2.39
Ir 0.0000 0.0000 0.0000  6 O 2.00-2.02
O 0.2186 0.2186 0.2048  1 Ir 2.00
O 0.7814 0.7814 0.7952  1 Ir 2.00
O 0.6407 0.9298 0.2148  1 Ir 2.02
O 0.0702 0.3593 0.7852  1 Ir 2.02
O 0.9298 0.6407 0.2148  1 Ir 2.02
O 0.3593 0.0702 0.7852  1 Ir 2.02

Entry 16:
First-principles (PBE-GGA) data for a relaxed structure of Na2CdIrO4, as listed in Alexandria.

Calculated values
SG: No. 82
Energy relative to the elements, uncorrected, kJ/mol of formula units: -809

Lattice parameters (Å, degrees): 5.3176 5.3176 5.3176 103.54 112.52 112.52
With the nearest neighbours (Å) after each atom.
Sites, in units of the cell vectors:
Na 0.5000 0.7500 0.2500  4 O 2.44
Na 0.0000 0.0000 0.0000  4 O 2.34
Cd 0.5000 0.2500 0.7500  4 O 2.27
Ir 0.0000 0.5000 0.5000  4 O 1.93
O 0.5512 0.2442 0.3451  1 Ir 1.93
O 0.1009 0.3069 0.7558  1 Ir 1.93
O 0.8991 0.6549 0.2060  1 Ir 1.93
O 0.4488 0.7940 0.6931  1 Ir 1.93

Entry 17:
First-principles (PBE-GGA) data for a relaxed structure of NaCd2IrOs, as listed in Alexandria.

Calculated values
SG: No. 123
Energy relative to the elements, eV/atom: 1.66
Energy above the lowest structure with this stoichiometry, eV per atom: 0.000

Lattice parameters (Å, degrees): 5.1363 5.1168 5.1363 90.00 90.00 90.00
With the nearest neighbours (Å) after each atom.
Sites, in units of the cell vectors:
Na 0.0000 0.5000 0.0000  2 Ir 2.56
Ir 0.0000 0.0000 0.0000  2 Na 2.56, 4 Cd 2.57
Os 0.5000 0.5000 0.5000  8 Cd 3.63, 4 Na 3.63
Cd 0.0000 0.0000 0.5000  2 Ir 2.57
Cd 0.5000 0.0000 0.0000  2 Ir 2.57

Entry 18:
First-principles (PBE-GGA) data for a relaxed structure of NaCd2IrOs, as listed in Alexandria.

Calculated values
SG: No. 123
Energy relative to the elements, eV/atom: 1.95
Energy above the lowest structure with this stoichiometry, eV per atom: 0.287

Lattice parameters (Å, degrees): 4.6440 4.6536 4.6440 90.00 90.00 90.00
With the nearest neighbours (Å) after each atom.
Sites, in units of the cell vectors:
Na 0.0000 0.0000 0.0000  4 Cd 2.32, 2 Ir 2.33
Ir 0.0000 0.5000 0.0000  2 Na 2.33
Os 0.5000 0.5000 0.5000  4 Ir 3.28, 8 Cd 3.29
Cd 0.0000 0.0000 0.5000  2 Na 2.32
Cd 0.5000 0.0000 0.0000  2 Na 2.32

Entry 19:
First-principles (PBE-GGA) data for a relaxed structure of NaCd2IrPb, as listed in Alexandria.

Calculated values
SG: No. 123
Energy relative to the elements, eV/atom: 0.05

Lattice parameters (Å, degrees): 5.3130 5.3130 5.1670 90.00 90.00 90.00
With the nearest neighbours (Å) after each atom.
Sites, in units of the cell vectors:
Pb 0.0000 0.0000 0.5000  2 Ir 2.58
Na 0.5000 0.5000 0.5000  8 Cd 3.71, 4 Pb 3.76
Ir 0.0000 0.0000 0.0000  2 Pb 2.58, 4 Cd 2.66
Cd 0.0000 0.5000 0.0000  2 Ir 2.66
Cd 0.5000 0.0000 0.0000  2 Ir 2.66

Entry 20:
First-principles (PBE-GGA) data for a relaxed structure of RbNaCd2Ir, as listed in Alexandria.

Calculated values
SG: No. 123
Energy relative to the elements, eV/atom: 0.13

Lattice parameters (Å, degrees): 5.3071 5.3071 5.5421 90.00 90.00 90.00
With the nearest neighbours (Å) after each atom.
Sites, in units of the cell vectors:
Na 0.0000 0.0000 0.5000  2 Ir 2.77
Ir 0.0000 0.0000 0.0000  4 Cd 2.65, 2 Na 2.77
Rb 0.5000 0.5000 0.5000  4 Na 3.75, 8 Cd 3.84
Cd 0.0000 0.5000 0.0000  2 Ir 2.65
Cd 0.5000 0.0000 0.0000  2 Ir 2.65